DFT (GGA+U) results for a relaxed Cd4Fe6F19 crystal.

Values from the calculation:
The final energy is -137.90 eV per cell.

Cell: 8.098 8.098 8.098 Å, 109.47 109.47 109.47°
Last column: magnetic moment on the atom in μB.
Fractional positions:
Fe1 0.338 0.500 0.838  3.81
F1 0.000 0.667 0.667  0.03
F2 0.030 0.271 0.662  0.04
F3 0.000 0.000 0.000  0.00
F4 0.338 0.608 0.368  0.04
F5 0.970 0.632 0.240  0.04
Cd1 0.289 0.289 0.289  0.00
Fe2 0.162 0.662 0.500  3.81
F6 0.662 0.030 0.271  0.04
Fe3 0.500 0.162 0.662  3.81
F7 0.729 0.760 0.392  0.04
Fe4 0.838 0.338 0.500  3.81
Cd2 0.000 0.000 0.711  0.00
Fe5 0.500 0.838 0.338  3.81
F8 0.271 0.662 0.030  0.04
F9 0.608 0.368 0.338  0.04
Fe6 0.662 0.500 0.162  3.81
F10 0.368 0.338 0.608  0.04
F11 0.000 0.333 0.333  0.03
Cd3 0.000 0.711 0.000  0.00
F12 0.392 0.729 0.760  0.04
F13 0.240 0.970 0.632  0.04
F14 0.333 0.000 0.333  0.03
Cd4 0.711 0.000 0.000  0.00
F15 0.667 0.667 0.000  0.03
F16 0.333 0.333 0.000  0.03
F17 0.667 0.000 0.667  0.03
F18 0.760 0.392 0.729  0.04
F19 0.632 0.240 0.970  0.04